Computed, not measured: NbInIr3 at its PBEsol-relaxed geometry at the meta-GGA SCAN level of DFT.

Its crystal system is cubic. The calculated formation energy comes out at 2107 meV per atom. As for the raw total energy: -269.3 eV per formula unit. Its total magnetization is 1.83 μB per cell. The calculation puts the density of states at the Fermi level at 6.3 states/eV/f.u.

Geometry as CIF:
```
data_NbInIr3
_chemical_formula_sum 'Nb1 In1 Ir3'
_cell_length_a 4.6918
_cell_length_b 4.6918
_cell_length_c 4.6918
_cell_angle_alpha 90.00
_cell_angle_beta 90.00
_cell_angle_gamma 90.00
_symmetry_space_group_name_H-M 'P m -3 m'
_symmetry_Int_Tables_number 221
_symmetry_space_group_name_Hall '-P 4 2 3'
loop_
_atom_site_label
_atom_site_fract_x
_atom_site_fract_y
_atom_site_fract_z
_atom_site_occupancy
Nb1 0.0000 0.0000 0.0000 1
In1 0.5000 0.5000 0.5000 1
Ir1 0.0000 0.5000 0.5000 1
```